No. 1
VASP calculation (GGA-PBE) on a relaxed TbThFe crystal.

**ΔE_f**: -0.01 eV/atom
**Crystal system**: triclinic
**Total magnetic moment**: 0.000 μB per atom
**Excess energy over the best structure of this formula in the dataset**: 1 meV per atom

Cell: 3.594 6.431 7.003 Å, 72.68 75.04 73.57°
Fractional positions:
Th 0.219 0.616 0.827
Tb 0.976 0.568 0.358
Th 0.400 0.043 0.031
Fe 0.688 0.409 0.097
Tb 0.643 0.090 0.501
Fe 0.931 0.250 0.761

***

No. 2
VASP calculation (GGA-PBE) on a relaxed Tb3ThFe crystal.

**ΔE_f**: 0.24 eV/atom
**Crystal system**: cubic
**Total magnetic moment**: 0.001 μB per atom

Cell: 5.270 5.270 5.270 Å, 90.00 90.00 90.00°
Fractional positions:
Fe 0.000 0.000 0.000
Tb 0.000 0.500 0.000
Th 0.500 0.500 0.500
Tb 0.000 0.000 0.500
Tb 0.500 0.000 0.000

***

No. 3
VASP calculation (GGA-PBE) on a relaxed Tb3ThFe8 crystal.

**ΔE_f**: -0.07 eV/atom
**Crystal system**: trigonal
**Total magnetic moment**: 1.200 μB per atom

Cell: 5.180 5.180 8.955 Å, 73.19 73.19 60.00°
Last column: magnetic moment on the atom in μB.
Fractional positions:
Fe 0.938 0.438 0.186  2.12
Tb 0.499 0.499 0.504  -0.51
Th 0.875 0.875 0.374  -0.43
Fe 0.937 0.937 0.689  2.08
Fe 0.437 0.937 0.689  2.08
Tb 0.001 0.001 0.996  -0.52
Fe 0.438 0.938 0.186  2.12
Fe 0.438 0.438 0.186  2.12
Fe 0.937 0.437 0.689  2.08
Tb 0.375 0.375 0.876  -0.52
Fe 0.187 0.187 0.439  2.11
Fe 0.688 0.688 0.936  2.11

***

No. 4
VASP calculation (GGA-PBE) on a relaxed TbThFe crystal.

**ΔE_f**: 0.09 eV/atom
**Crystal system**: trigonal
**Total magnetic moment**: 0.000 μB per atom
**Excess energy over the best structure of this formula in the dataset**: 101 meV per atom

Cell: 6.150 3.866 3.866 Å, 120.00 90.00 90.00°
Fractional positions:
Fe 0.350 0.333 0.667
Th 0.565 0.667 0.333
Tb 0.085 0.000 0.000

***

No. 5
VASP calculation (GGA-PBE) on a relaxed TbTh2Fe crystal.

**ΔE_f**: 0.24 eV/atom
**Crystal system**: trigonal
**Total magnetic moment**: 0.000 μB per atom
**Excess energy over the best structure of this formula in the dataset**: 297 meV per atom

Cell: 3.740 3.740 10.240 Å, 79.48 79.48 60.00°
Fractional positions:
Tb 0.000 0.000 0.000
Fe 0.500 0.500 0.500
Th 0.114 0.114 0.657
Th 0.886 0.886 0.343

***

No. 6
VASP calculation (GGA-PBE) on a relaxed TbTh2Fe crystal.

**ΔE_f**: -0.06 eV/atom
**Crystal system**: orthorhombic
**Total magnetic moment**: 0.000 μB per atom
**Excess energy over the best structure of this formula in the dataset**: 5 meV per atom

Cell: 3.699 6.150 9.741 Å, 90.00 90.00 107.47°
Fractional positions:
Th 0.638 0.278 0.070
Fe 0.198 0.396 0.250
Tb 0.088 0.176 0.750
Th 0.638 0.278 0.430
Fe 0.802 0.604 0.750
Th 0.362 0.722 0.930
Tb 0.912 0.824 0.250
Th 0.362 0.722 0.570

***

No. 7
VASP calculation (GGA-PBE) on a relaxed TbTh4Fe4 crystal.

**ΔE_f**: 0.02 eV/atom
**Crystal system**: tetragonal
**Total magnetic moment**: 0.000 μB per atom

Cell: 5.509 8.526 8.526 Å, 90.00 90.00 90.00°
Fractional positions:
Th 0.935 0.415 0.196
Fe 0.913 0.287 0.862
Th 0.435 0.696 0.085
Fe 0.087 0.862 0.713
Fe 0.587 0.787 0.362
Th 0.565 0.915 0.696
Th 0.565 0.085 0.304
Th 0.435 0.304 0.915
Fe 0.913 0.713 0.138
Tb 0.500 0.500 0.500
Fe 0.587 0.213 0.638
Th 0.065 0.196 0.585
Th 0.065 0.804 0.415
Fe 0.087 0.138 0.287
Th 0.935 0.585 0.804
Tb 0.000 0.000 0.000
Fe 0.413 0.362 0.213
Fe 0.413 0.638 0.787

***

No. 8
VASP calculation (GGA-PBE) on a relaxed TbTh2Fe crystal.

**ΔE_f**: -0.06 eV/atom
**Crystal system**: orthorhombic
**Total magnetic moment**: 0.000 μB per atom
**Excess energy over the best structure of this formula in the dataset**: 0 meV per atom

Cell: 6.240 6.998 9.739 Å, 90.00 90.00 90.00°
Fractional positions:
Th 0.673 0.832 0.568
Th 0.827 0.332 0.932
Fe 0.618 0.101 0.750
Tb 0.150 0.952 0.750
Th 0.327 0.168 0.068
Fe 0.882 0.601 0.750
Tb 0.650 0.548 0.250
Th 0.327 0.168 0.432
Tb 0.850 0.048 0.250
Th 0.827 0.332 0.568
Fe 0.118 0.399 0.250
Fe 0.382 0.899 0.250
Th 0.673 0.832 0.932
Th 0.173 0.668 0.068
Th 0.173 0.668 0.432
Tb 0.350 0.452 0.750

***

Look up the ΔE_f of the fourth one.
0.09 eV/atom

***

Copy entry 1 word for word.
VASP calculation (GGA-PBE) on a relaxed TbThFe crystal.

**ΔE_f**: -0.01 eV/atom
**Crystal system**: triclinic
**Total magnetic moment**: 0.000 μB per atom
**Excess energy over the best structure of this formula in the dataset**: 1 meV per atom

Cell: 3.594 6.431 7.003 Å, 72.68 75.04 73.57°
Fractional positions:
Th 0.219 0.616 0.827
Tb 0.976 0.568 0.358
Th 0.400 0.043 0.031
Fe 0.688 0.409 0.097
Tb 0.643 0.090 0.501
Fe 0.931 0.250 0.761

***

Which value of total magnetic moment does entry 3 give?
1.200 μB per atom